Record 1
A geometry-optimized La6GeIr2Br3 structure. Source: Alexandria, functional PBE-GGA.

Cell and atoms, written as POSCAR:
```
La6GeIr2Br3
1.0
-2.075 -4.266 -5.742
-3.034 -1.078 6.716
-3.915 6.846 -2.053
La Ge Ir Br
6 1 2 3
direct
0.933 0.585 0.798
0.718 0.718 0.201
0.067 0.415 0.202
0.585 0.933 0.798
0.282 0.282 0.799
0.415 0.067 0.202
0.000 0.000 0.000
0.333 0.667 0.000
0.667 0.333 0.000
0.162 0.838 0.500
0.838 0.162 0.500
0.500 0.500 0.500
```

Computed properties:
energy relative to the elements, uncorrected = -1.191 eV per atom
density = 6.81 g/cm3

Record 2
A geometry-optimized La2HgW structure. Source: Alexandria, functional PBE-GGA.

Cell and atoms, written as POSCAR:
```
La2HgW
1.0
-4.648 3.260 -1.022
-3.308 -2.291 -4.134
2.318 -2.146 4.827
Hg La W
1 2 1
direct
0.750 0.250 0.500
0.000 0.000 0.000
0.250 0.750 0.500
0.500 0.500 0.000
```

Computed properties:
energy relative to the elements = 0.42 eV per atom
density = 10.91 g/cm3

Among the records above, which one has the highest density? La2HgW

Number 2 is which compound? La2HgW

Which value of density does entry 2 give? 10.91 g/cm3

Please write out number 1 again, unchanged.
A geometry-optimized La6GeIr2Br3 structure. Source: Alexandria, functional PBE-GGA.

Cell and atoms, written as POSCAR:
```
La6GeIr2Br3
1.0
-2.075 -4.266 -5.742
-3.034 -1.078 6.716
-3.915 6.846 -2.053
La Ge Ir Br
6 1 2 3
direct
0.933 0.585 0.798
0.718 0.718 0.201
0.067 0.415 0.202
0.585 0.933 0.798
0.282 0.282 0.799
0.415 0.067 0.202
0.000 0.000 0.000
0.333 0.667 0.000
0.667 0.333 0.000
0.162 0.838 0.500
0.838 0.162 0.500
0.500 0.500 0.500
```

Computed properties:
energy relative to the elements, uncorrected = -1.191 eV per atom
density = 6.81 g/cm3